(1)
ZrPtSeBr2: single point on PBEsol structure, SCAN.

a = 4.9188 Å, b = 4.9188 Å, c = 5.0331 Å
α = 90.00°, β = 90.00°, γ = 90.00°
Space group P4/mmm (No. 123)
One atom of each set of equivalent atoms:
Zr: 0.0000 0.0000 0.0000 (multiplicity 1)
Pt: 0.5000 0.5000 0.5000 (multiplicity 1)
Se: 0.5000 0.5000 0.0000 (multiplicity 1)
Br: 0.0000 0.5000 0.5000 (multiplicity 2)

**E_form (uncorrected)**: 0.18 eV per atom
**D(E_F)**: 0.58 states/eV/atom


(2)
RbAlPdF6: single point on PBEsol structure, SCAN.

a = 7.1442 Å, b = 7.1284 Å, c = 10.0882 Å
α = 90.00°, β = 90.00°, γ = 90.00°
Space group Pnma (No. 62)
One atom of each set of equivalent atoms:
Rb: 0.0257 0.2500 0.1296 (multiplicity 4)
Al: 0.0000 0.0000 0.5000 (multiplicity 4)
Pd: 0.2116 0.2500 0.7656 (multiplicity 4)
F: 0.0377 0.2500 0.4845 (multiplicity 4)
F: 0.0512 0.7500 0.1376 (multiplicity 4)
F: 0.1275 0.5035 0.6546 (multiplicity 8)
F: 0.2178 0.5356 0.4115 (multiplicity 8)

**E_form (uncorrected)**: -2.89 eV per atom


(3)
CaCrPt2: single point on PBEsol structure, SCAN.

a = 3.0858 Å, b = 3.0858 Å, c = 7.1354 Å
α = 90.00°, β = 90.00°, γ = 90.00°
Space group P4/mmm (No. 123)
One atom of each set of equivalent atoms:
Ca: 0.0000 0.0000 0.0000 (multiplicity 1)
Cr: 0.0000 0.0000 0.5000 (multiplicity 1)
Pt: 0.5000 0.5000 0.2965 (multiplicity 2)

**Energy above the most stable polymorph in this dataset**: 0.0 kJ/mol of atoms
**D(E_F)**: 0.59 states/eV/atom
**E_form**: -235 kJ/mol of formula units


(4)
Ca2InTe: single point on PBEsol structure, SCAN.

a = 5.0187 Å, b = 5.0187 Å, c = 8.8542 Å
α = 90.00°, β = 90.00°, γ = 90.00°
Space group I4/mmm (No. 139)
One atom of each set of equivalent atoms:
Ca: 0.0000 0.5000 0.2500 (multiplicity 4)
In: 0.0000 0.0000 0.0000 (multiplicity 2)
Te: 0.0000 0.0000 0.5000 (multiplicity 2)

**E_form (uncorrected)**: -0.79 eV per atom
**D(E_F)**: 0.49 states/eV/atom


(5)
Nb3SbCl: single point on PBEsol structure, SCAN.

a = 4.5414 Å, b = 4.5414 Å, c = 4.5414 Å
α = 90.00°, β = 90.00°, γ = 90.00°
Space group Pm-3m (No. 221)
One atom of each set of equivalent atoms:
Nb: 0.0000 0.0000 0.5000 (multiplicity 3)
Sb: 0.5000 0.5000 0.5000 (multiplicity 1)
Cl: 0.0000 0.0000 0.0000 (multiplicity 1)

**E_form (uncorrected)**: 0.46 eV per atom
**D(E_F)**: 0.48 states/eV/atom


(6)
FeNi3Mo6N2: single point on PBEsol structure, SCAN.

a = 6.5789 Å, b = 6.5768 Å, c = 6.5856 Å
α = 90.00°, β = 90.09°, γ = 90.00°
Space group P2_1 (No. 4)
One atom of each set of equivalent atoms:
Fe: 0.1789 0.0000 0.4297 (multiplicity 2)
Ni: 0.0654 0.2444 0.6828 (multiplicity 2)
Ni: 0.3174 0.3614 0.9329 (multiplicity 2)
Ni: 0.4355 0.1141 0.1862 (multiplicity 2)
Mo: 0.0502 0.0534 0.0485 (multiplicity 2)
Mo: 0.1283 0.3774 0.2966 (multiplicity 2)
Mo: 0.1983 0.6319 0.6212 (multiplicity 2)
Mo: 0.2997 0.7263 0.1221 (multiplicity 2)
Mo: 0.3728 0.9784 0.7977 (multiplicity 2)
Mo: 0.4572 0.3086 0.5516 (multiplicity 2)
N: 0.1241 0.8026 0.8742 (multiplicity 2)
N: 0.3754 0.5541 0.3736 (multiplicity 2)

**E_form (uncorrected)**: -0.23 eV per atom
**D(E_F)**: 0.57 states/eV/atom


(7)
AlAg3: single point on PBEsol structure, SCAN.

a = 9.9211 Å, b = 5.6213 Å, c = 5.0270 Å
α = 90.00°, β = 112.33°, γ = 90.00°
Space group C2/c (No. 15)
One atom of each set of equivalent atoms:
Al: 0.0000 0.1407 0.2500 (multiplicity 4)
Ag: 0.0000 0.3660 0.7500 (multiplicity 4)
Ag: 0.2434 0.1170 0.7348 (multiplicity 8)

**D(E_F)**: 0.27 states/eV/atom
**E_form**: -34 kJ/mol of formula units


(8)
CoAuBr2: single point on PBEsol structure, SCAN.

a = 3.6941 Å, b = 3.7302 Å, c = 6.1907 Å
α = 90.00°, β = 90.00°, γ = 90.00°
Space group Pmmm (No. 47)
One atom of each set of equivalent atoms:
Co: 0.0000 0.0000 0.0000 (multiplicity 1)
Au: 0.0000 0.5000 0.5000 (multiplicity 1)
Br: 0.5000 0.0000 0.5000 (multiplicity 1)
Br: 0.5000 0.5000 0.0000 (multiplicity 1)

**E_form (uncorrected)**: 0.24 eV per atom
**D(E_F)**: 0.93 states/eV/atom


| no. | total magnetic moment (μB per formula unit) |
| --- | --- |
| 1 | 1.830 |
| 2 | 2.000 |
| 3 | 3.476 |
| 4 | 0.000 |
| 5 | 0.000 |
| 6 | 2.576 |
| 7 | 0.000 |
| 8 | 2.120 |